Computed, not measured: a geometry-optimized PmHoMgGe structure at the PBE level of DFT.

space-group type	F-43m, No. 216
M_tot	0.00	Bohr magnetons per cell
formation energy	-0.36	eV per atom
uncorrected energy	-4.24	eV per atom

```
PmHoMgGe
1.0
0.0000 3.6649 3.6649
3.6649 0.0000 3.6649
3.6649 3.6649 0.0000
Pm Ho Mg Ge
1 1 1 1
direct
0.0000 0.0000 0.0000
0.5000 0.5000 0.5000
0.2500 0.2500 0.2500
0.7500 0.7500 0.7500
```